Entry 1:
Compound: Na2LiB
Source: the Alexandria database
Functional: PBE
Structure: optimized geometry

The value obtained for the density of states at the Fermi level is 2.734 states/eV/cell. The value obtained for the magnetic moment is 0.0 μB/cell. The calculated total energy is -1.889 eV per atom. As for the crystal system: tetragonal. For the energy of formation from the pure elements, the calculation gives 0.918 eV per atom. The space group is I-42d, No. 122.

abc: 3.980 3.980 10.289
angles: 78.85 78.85 90.00
Atoms (fractional coordinates):
Na1 0.375 0.355 0.750
Na2 0.875 0.895 0.750
Na3 0.645 0.125 0.250
Na4 0.105 0.625 0.250
Li1 0.500 0.500 0.000
Li2 0.250 0.750 0.500
B1 0.000 0.000 0.000
B2 0.750 0.250 0.500

Entry 2:
Compound: CaLa3Ir
Source: the Alexandria database
Functional: PBE
Structure: optimized geometry

The value obtained for the density of states at the Fermi level is 6.288 states/eV/cell. The value obtained for the magnetic moment is 0.0 μB/cell. As for the energy above the most stable polymorph in this dataset: 20.8 meV/atom. The calculated total energy is -5.458 eV per atom. As for the crystal system: triclinic. For the energy of formation from the pure elements, the calculation gives -0.329 eV per atom. The space group is P1, No. 1.

abc: 7.404 6.577 9.380
angles: 49.46 88.27 86.99
Atoms (fractional coordinates):
La1 0.503 0.990 0.217
La2 0.184 0.611 0.955
La3 0.655 0.226 0.464
La4 0.158 0.104 0.456
La5 0.309 0.342 0.693
La6 0.797 0.482 0.712
Ir1 0.467 0.742 0.665
Ir2 0.355 0.572 0.255
Ca1 0.017 0.871 0.201
Ca2 0.656 0.730 0.964

Entry 3:
Compound: BaInTe
Source: the Alexandria database
Functional: PBE
Structure: optimized geometry

The value obtained for the density of states at the Fermi level is 2.212 states/eV/cell. The value obtained for the magnetic moment is 0.0 μB/cell. As for the energy above the most stable polymorph in this dataset: 80.6 meV/atom. The calculated total energy is -3.305 eV per atom. As for the crystal system: cubic. The space group is F-43m, No. 216. For the formation energy from raw total energies, the calculation gives -704 meV per atom.

abc: 5.687 5.687 5.687
angles: 60.00 60.00 60.00
Atoms (fractional coordinates):
In1 0.500 0.500 0.500
Ba1 0.000 0.000 0.000
Te1 0.750 0.750 0.750

Entry 4:
Compound: PPt2Se
Source: the Alexandria database
Functional: PBE
Structure: optimized geometry

The value obtained for the density of states at the Fermi level is 2.159 states/eV/cell. The value obtained for the magnetic moment is 0.0 μB/cell. As for the energy above the most stable polymorph in this dataset: 191.5 meV/atom. The calculated total energy is -5.334 eV per atom. As for the crystal system: monoclinic. The space group is Cm, No. 8. For the formation energy from raw total energies, the calculation gives -90 meV per atom.

abc: 5.835 5.835 3.757
angles: 79.73 79.73 35.24
Atoms (fractional coordinates):
Se1 0.480 0.480 0.537
Pt1 0.243 0.243 0.779
Pt2 0.997 0.997 0.027
P1 0.780 0.780 0.156